No. 1
Compound: NaMnCd2
Source: Alexandria via LeMat-Bulk
Functional: PBE
Structure: optimized geometry

Properties
energy relative to the elements	0.21	eV per atom
DOS at the Fermi energy	2.448	states/eV per cell
polymorph energy (0 for the lowest one)	0.0	meV/atom
symmetry	Fm-3m (225)
calculated total energy	-2.87	eV per atom

```
NaMnCd2
1.0
0.000 3.451 3.451
3.451 0.000 3.451
3.451 3.451 0.000
Na Mn Cd
1 1 2
Direct
0.000 0.000 0.000 Na
0.500 0.500 0.500 Mn
0.250 0.250 0.250 Cd
0.750 0.750 0.750 Cd
```

No. 2
Compound: NaMnNbCd2
Source: Alexandria via LeMat-Bulk
Functional: PBE
Structure: optimized geometry

Properties
energy relative to the elements	1.45	eV per atom
DOS at the Fermi energy	4.458	states/eV per cell
symmetry	P4/mmm (123)
calculated total energy	-3.03	eV per atom

```
NaMnNbCd2
1.0
5.491 0.000 0.000
0.000 5.491 0.000
0.000 0.000 5.561
Na Mn Nb Cd
1 1 1 2
Direct
0.000 0.000 0.000 Na
0.500 0.500 0.000 Mn
0.000 0.000 0.500 Nb
0.000 0.500 0.500 Cd
0.500 0.000 0.500 Cd
```